Material: MgVSi2
Method: DFT, PBE-GGA
State: relaxed

Values from the calculation:
The uncorrected formation energy comes out at 1.5 eV per formula unit. The calculation puts the density at 3.2 g/cm³.

Geometry as CIF:
```
data_MgVSi2
_cell_length_a 7.0158
_cell_length_b 7.0158
_cell_length_c 5.4581
_cell_angle_alpha 90.00
_cell_angle_beta 90.00
_cell_angle_gamma 90.00
_space_group_name_H-M_alt 'I -4 2 d'
_space_group_IT_number 122
_space_group_name_Hall 'I -4 2bw'
loop_
_atom_site_label
_atom_site_type_symbol
_atom_site_fract_x
_atom_site_fract_y
_atom_site_fract_z
_atom_site_occupancy
Mg1 Mg 0.0000 0.0000 0.0000 1
V1 V 0.0000 0.0000 0.5000 1
Si1 Si 0.2251 0.7500 0.6250 1
```

=====

Material: ErTe2Pd
Method: DFT, PBE-GGA
State: relaxed

Values from the calculation:
The uncorrected formation energy comes out at -0.9 eV per formula unit. The energy relative to the lowest polymorph listed for this composition is 48.14 kJ/mol of atoms. The calculation puts the density at 7.3 g/cm³.

Geometry as CIF:
```
data_ErTe2Pd
_cell_length_a 3.9405
_cell_length_b 3.9405
_cell_length_c 26.9306
_cell_angle_alpha 90.00
_cell_angle_beta 90.00
_cell_angle_gamma 120.00
_space_group_name_H-M_alt 'R -3 m'
_space_group_IT_number 166
_space_group_name_Hall '-R 3 2"'
loop_
_atom_site_label
_atom_site_type_symbol
_atom_site_fract_x
_atom_site_fract_y
_atom_site_fract_z
_atom_site_occupancy
Er1 Er 0.0000 0.0000 0.0000 1
Te1 Te 0.0000 0.0000 0.1110 1
Pd1 Pd 0.0000 0.0000 0.5000 1
```

=====

Material: MoHIrPd2
Method: DFT, PBE-GGA
State: relaxed

Values from the calculation:
For the total energy, the calculation gives -6.589 eV per atom. The calculation puts the density at 13.2 g/cm³.

Geometry as CIF:
```
data_MoHIrPd2
_cell_length_a 3.8917
_cell_length_b 3.8917
_cell_length_c 4.1566
_cell_angle_alpha 90.00
_cell_angle_beta 90.00
_cell_angle_gamma 90.00
_space_group_name_H-M_alt 'P 4/m m m'
_space_group_IT_number 123
_space_group_name_Hall '-P 4 2'
loop_
_atom_site_label
_atom_site_type_symbol
_atom_site_fract_x
_atom_site_fract_y
_atom_site_fract_z
_atom_site_occupancy
Mo1 Mo 0.0000 0.0000 0.0000 1
H1 H 0.0000 0.0000 0.5000 1
Ir1 Ir 0.5000 0.5000 0.0000 1
Pd1 Pd 0.0000 0.5000 0.5000 1
```

=====

Material: CsIn2Sn8
Method: DFT, PBE-GGA
State: relaxed

Values from the calculation:
The formation energy is 0.088 eV/atom. The calculation puts the density at 5.0 g/cm³.

Geometry as CIF:
```
data_CsIn2Sn8
_cell_length_a 6.2574
_cell_length_b 6.2574
_cell_length_c 11.1781
_cell_angle_alpha 90.00
_cell_angle_beta 90.00
_cell_angle_gamma 90.00
_space_group_name_H-M_alt 'P 4/m m m'
_space_group_IT_number 123
_space_group_name_Hall '-P 4 2'
loop_
_atom_site_label
_atom_site_type_symbol
_atom_site_fract_x
_atom_site_fract_y
_atom_site_fract_z
_atom_site_occupancy
Cs1 Cs 0.0000 0.0000 0.0000 1
In1 In 0.0000 0.5000 0.5000 1
Sn1 Sn 0.2517 0.2517 0.3025 1
```

=====

In the order shown, the computed size of the total moment values come out to 2.59; 0.00; 0.00; 0.00 μB per cell.